Record 1
The following is a PBE calculation of La4TbSb5 after structural relaxation, from Alexandria.

Calculated values
E above lowest polymorph ... 0.004 eV/atom
Calculated total energy ... -0.421 Ry/atom
ΔE_f (raw) ... -1.24 eV/atom

Lattice parameters (Å, degrees): 4.5880 4.5880 16.5084 97.99 97.99 90.00
Positions (direct):
1 La 0.4011 0.4011 0.8023
2 La 0.8010 0.8010 0.6020
3 La 0.1990 0.1990 0.3980
4 La 0.5989 0.5989 0.1977
5 Tb 0.0000 0.0000 0.0000
6 Sb 0.0973 0.0973 0.1947
7 Sb 0.5000 0.5000 0.0000
8 Sb 0.9027 0.9027 0.8053
9 Sb 0.3002 0.3002 0.6003
10 Sb 0.6998 0.6998 0.3997


Record 2
The following is a PBE calculation of La3TbSb4 after structural relaxation, from Alexandria.

Calculated values
Calculated total energy ... -0.421 Ry/atom
ΔE_f (raw) ... -1.24 eV/atom

Lattice parameters (Å, degrees): 7.9191 7.9145 9.1530 90.00 90.00 109.51
Positions (direct):
1 Sb 0.9956 0.2461 0.6293
2 Sb 0.5003 0.2415 0.8797
3 Sb 0.4956 0.2461 0.3707
4 Sb 0.0003 0.2415 0.1203
5 Sb 0.9997 0.7585 0.8797
6 Sb 0.5044 0.7539 0.6293
7 Sb 0.4997 0.7585 0.1203
8 Sb 0.0044 0.7539 0.3707
9 Tb 0.7500 0.0000 0.8759
10 Tb 0.2500 0.0000 0.1241
11 La 0.7500 0.0000 0.3737
12 La 0.2500 0.0000 0.6263
13 La 0.7500 0.5000 0.6267
14 La 0.7500 0.5000 0.1242
15 La 0.2500 0.5000 0.3733
16 La 0.2500 0.5000 0.8758


Record 3
The following is a PBE calculation of La3TbSb2 after structural relaxation, from Alexandria.

Calculated values
E above lowest polymorph ... 0.010 eV/atom
Calculated total energy ... -0.402 Ry/atom
ΔE_f (raw) ... -0.85 eV/atom

Lattice parameters (Å, degrees): 4.6531 4.6531 8.9763 90.00 90.00 90.00
Positions (direct):
1 La 0.5000 0.0000 0.3549
2 La 0.0000 0.5000 0.6451
3 La 0.0000 0.0000 0.0000
4 Tb 0.5000 0.5000 0.0000
5 Sb 0.5000 0.0000 0.7261
6 Sb 0.0000 0.5000 0.2739


Record 4
The following is a PBE calculation of La3TbSb3 after structural relaxation, from Alexandria.

Calculated values
Calculated total energy ... -0.414 Ry/atom
ΔE_f (raw) ... -1.09 eV/atom

Lattice parameters (Å, degrees): 9.5934 9.5934 9.5934 90.00 90.00 90.00
Positions (direct):
1 La 0.8233 0.3233 0.1767
2 La 0.9332 0.9332 0.9332
3 La 0.8218 0.6782 0.3218
4 La 0.1767 0.8233 0.3233
5 La 0.1782 0.1782 0.1782
6 La 0.3218 0.8218 0.6782
7 La 0.0668 0.4332 0.5668
8 La 0.3233 0.1767 0.8233
9 La 0.6782 0.3218 0.8218
10 La 0.6767 0.6767 0.6767
11 La 0.5668 0.0668 0.4332
12 La 0.4332 0.5668 0.0668
13 Tb 0.0712 0.5712 0.9288
14 Tb 0.9288 0.0712 0.5712
15 Tb 0.4288 0.4288 0.4288
16 Tb 0.5712 0.9288 0.0712
17 Sb 0.7568 0.6305 0.9982
18 Sb 0.8695 0.0018 0.2568
19 Sb 0.9982 0.7568 0.6305
20 Sb 0.1305 0.5018 0.2432
21 Sb 0.2432 0.1305 0.5018
22 Sb 0.2568 0.8695 0.0018
23 Sb 0.0018 0.2568 0.8695
24 Sb 0.3695 0.4982 0.7432
25 Sb 0.5018 0.2432 0.1305
26 Sb 0.6305 0.9982 0.7568
27 Sb 0.7432 0.3695 0.4982
28 Sb 0.4982 0.7432 0.3695